The following is a DFT calculation (PBE-GGA) of BaGaTe3 after structural relaxation. Values from VASP.

Values from the calculation:
Crystal system: cubic
Spin magnetization (Bohr magnetons per cell): 0.0
Polymorph energy (0 for the lowest one) (meV per atom): 185.1
Calculated density (g/cm³): 5.73

The structure in Quantum ESPRESSO input format:
```
&SYSTEM
  ibrav = 0, nat = 5, ntyp = 3
/
ATOMIC_SPECIES
Te 127.60 Te.upf
Ba 137.33 Ba.upf
Ga 69.72 Ga.upf
CELL_PARAMETERS angstrom
-1.514 3.861 -3.689
-5.316 -1.448 0.666
-0.500 3.715 4.093
ATOMIC_POSITIONS crystal
Te 0.000 0.500 0.000
Te 0.000 0.000 0.500
Te 0.500 0.000 0.000
Ba 0.500 0.500 0.500
Ga 0.000 0.000 0.000
```